A plane-wave DFT calculation with PBE was carried out for an optimized crystal structure of HgSb2Au5.

Cell lengths 5.603, 12.857, 5.762 Å; angles 90.00, 96.47, 90.00 degrees
Fractional coordinates of all 16 atoms:
Hg 0.094 0.250 0.096
Hg 0.906 0.750 0.904
Sb 0.271 0.540 0.181
Sb 0.271 0.960 0.181
Sb 0.729 0.040 0.819
Sb 0.729 0.460 0.819
Au 0.180 0.504 0.700
Au 0.180 0.996 0.700
Au 0.286 0.750 0.244
Au 0.440 0.142 0.399
Au 0.440 0.358 0.399
Au 0.560 0.642 0.601
Au 0.560 0.858 0.601
Au 0.714 0.250 0.756
Au 0.820 0.004 0.300
Au 0.820 0.496 0.300

Summary:
The calculation puts the raw formation energy at 53 meV per atom.

A plane-wave DFT calculation with PBE was carried out for an optimized crystal structure of HgSb2Au.

Cell lengths 3.131, 4.286, 8.217 Å; angles 90.00, 90.13, 90.00 degrees
Fractional coordinates of all 4 atoms:
Hg 0.000 0.000 0.000
Sb 0.001 0.500 0.712
Sb 0.999 0.500 0.288
Au 0.000 0.000 0.500

Summary:
The calculation puts the raw formation energy at -1 meV per atom.

A plane-wave DFT calculation with PBE was carried out for an optimized crystal structure of Hg3Sb2Au4.

Cell lengths 6.378, 6.378, 8.445 Å; angles 103.99, 103.99, 42.43 degrees
Fractional coordinates of all 9 atoms:
Hg 0.000 0.000 0.000
Hg 0.218 0.218 0.823
Hg 0.782 0.782 0.177
Sb 0.403 0.403 0.594
Sb 0.597 0.597 0.406
Au 0.194 0.194 0.315
Au 0.410 0.410 0.130
Au 0.590 0.590 0.870
Au 0.806 0.806 0.685

Summary:
The calculation puts the raw formation energy at 63 meV per atom.

A plane-wave DFT calculation with PBE was carried out for an optimized crystal structure of HgSb2Au.

Cell lengths 4.104, 4.141, 12.507 Å; angles 90.00, 90.00, 90.00 degrees
Fractional coordinates of all 8 atoms:
Hg 0.000 0.000 0.000
Hg 0.500 0.500 0.500
Sb 0.000 0.000 0.385
Sb 0.000 0.500 0.698
Sb 0.500 0.000 0.198
Sb 0.500 0.500 0.885
Au 0.000 0.500 0.224
Au 0.500 0.000 0.724

Summary:
The calculation puts the raw formation energy at 97 meV per atom.

Question: Which of these has the highest raw formation energy?
Answer: number 4

Question: What is the raw formation energy in the third record?
Answer: 63 meV per atom